[1]
AlH6OsAu: relaxed, PBE. Values from VASP.

The structure in Quantum ESPRESSO input format:
```
&SYSTEM
  ibrav = 0, nat = 9, ntyp = 4
/
ATOMIC_SPECIES
Al 26.98 Al.upf
H 1.01 H.upf
Os 190.23 Os.upf
Au 196.97 Au.upf
CELL_PARAMETERS angstrom
0.0000 3.2073 3.2073
3.2073 0.0000 3.2073
3.2073 3.2073 0.0000
ATOMIC_POSITIONS crystal
Al 0.0000 0.0000 0.0000
H 0.2751 0.2751 0.7249
H 0.2751 0.7249 0.2751
H 0.2751 0.7249 0.7249
H 0.7249 0.2751 0.2751
H 0.7249 0.2751 0.7249
H 0.7249 0.7249 0.2751
Os 0.7500 0.7500 0.7500
Au 0.2500 0.2500 0.2500
```

## Properties
The symmetry is F-43m. Its magnetization is 0.0005 μB/atom.



[2]
Hf2Al2Au: relaxed, PBE. Values from VASP.

The structure in Quantum ESPRESSO input format:
```
&SYSTEM
  ibrav = 0, nat = 10, ntyp = 3
/
ATOMIC_SPECIES
Hf 178.49 Hf.upf
Al 26.98 Al.upf
Au 196.97 Au.upf
CELL_PARAMETERS angstrom
6.5690 0.0000 0.0000
0.0000 6.5690 0.0000
0.0000 0.0000 4.2889
ATOMIC_POSITIONS crystal
Hf 0.1630 0.3370 0.0000
Hf 0.3370 0.8370 0.0000
Hf 0.6630 0.1630 0.0000
Hf 0.8370 0.6630 0.0000
Al 0.1369 0.6369 0.5000
Al 0.3631 0.1369 0.5000
Al 0.6369 0.8631 0.5000
Al 0.8631 0.3631 0.5000
Au 0.0000 0.0000 0.5000
Au 0.5000 0.5000 0.5000
```

## Properties
The symmetry is P4/mbm. Its magnetization is 0.0004 μB/atom.



[3]
Hf3AlAu2: relaxed, PBE. Values from VASP.

The structure in Quantum ESPRESSO input format:
```
&SYSTEM
  ibrav = 0, nat = 24, ntyp = 3
/
ATOMIC_SPECIES
Hf 178.49 Hf.upf
Al 26.98 Al.upf
Au 196.97 Au.upf
CELL_PARAMETERS angstrom
0.0000 6.1394 6.1394
6.1394 0.0000 6.1394
6.1394 6.1394 0.0000
ATOMIC_POSITIONS crystal
Hf 0.0702 0.0702 0.6798
Hf 0.0702 0.6798 0.0702
Hf 0.0702 0.6798 0.6798
Hf 0.3202 0.3202 0.9298
Hf 0.3202 0.9298 0.3202
Hf 0.3202 0.9298 0.9298
Hf 0.6798 0.0702 0.0702
Hf 0.6798 0.0702 0.6798
Hf 0.6798 0.6798 0.0702
Hf 0.9298 0.3202 0.3202
Hf 0.9298 0.3202 0.9298
Hf 0.9298 0.9298 0.3202
Al 0.0000 0.5000 0.5000
Al 0.5000 0.0000 0.5000
Al 0.5000 0.5000 0.0000
Al 0.5000 0.5000 0.5000
Au 0.2864 0.2864 0.2864
Au 0.2864 0.2864 0.6407
Au 0.2864 0.6407 0.2864
Au 0.3593 0.7136 0.7136
Au 0.6407 0.2864 0.2864
Au 0.7136 0.3593 0.7136
Au 0.7136 0.7136 0.3593
Au 0.7136 0.7136 0.7136
```

## Properties
The symmetry is Fd-3m. Its magnetization is 0.0005 μB/atom.



[4]
HfAl2Au: relaxed, PBE. Values from VASP.

The structure in Quantum ESPRESSO input format:
```
&SYSTEM
  ibrav = 0, nat = 4, ntyp = 3
/
ATOMIC_SPECIES
Hf 178.49 Hf.upf
Al 26.98 Al.upf
Au 196.97 Au.upf
CELL_PARAMETERS angstrom
0.0000 3.3088 3.3088
3.3088 0.0000 3.3088
3.3088 3.3088 0.0000
ATOMIC_POSITIONS crystal
Hf 0.0000 0.0000 0.0000
Al 0.2500 0.2500 0.2500
Al 0.5000 0.5000 0.5000
Au 0.7500 0.7500 0.7500
```

## Properties
The symmetry is F-43m. Its magnetization is 0.0014 μB/atom.



The E_tot results, record by record, are as follows: -31.4 -66.4 -170.7 -21.3 eV per cell.